Here is an optimized crystal structure of Dy12Tm7Al from Alexandria. Energies are from PBE-GGA.

Cell and atoms, written as extended XYZ:
```
20
Lattice="5.968 3.446 5.057 -5.968 3.446 5.057 0.000 -6.891 5.057" Properties=species:S:1:pos:R:3 pbc="T T T"
Dy 5.276 -0.593 8.898
Dy -5.276 0.593 6.274
Dy -3.151 -4.273 8.898
Dy -3.027 -0.904 8.242
Dy -0.731 -3.073 6.930
Dy 2.125 -4.866 6.274
Dy -2.296 2.170 6.930
Dy 2.296 -2.170 8.242
Dy -2.125 4.866 8.898
Dy 0.731 3.073 8.242
Dy 3.027 0.904 6.930
Dy 3.151 4.273 6.274
Tm 0.000 0.000 0.000
Tm -1.927 -0.532 4.601
Tm 1.424 -1.403 4.601
Tm 0.503 1.934 4.601
Tm -0.503 -1.934 10.571
Tm -1.424 1.403 10.571
Tm 1.927 0.532 10.571
Al 0.000 0.000 7.586
```

V	31.2	Å³ per atom
E_form	0.193	eV/atom